! MgMo2Se SCAN single point on PBEsol structure; values from VASP
&SYSTEM
  ibrav = 0, nat = 4, ntyp = 3
/
ATOMIC_SPECIES
Mo 95.94 Mo.upf
Se 78.96 Se.upf
Mg 24.30 Mg.upf
ATOMIC_POSITIONS angstrom
Mo 1.483 0.856 2.399
Mo 4.450 2.569 6.242
Se 2.967 1.713 4.321
Mg 0.000 0.000 0.000
CELL_PARAMETERS angstrom
2.967 0.000 0.000
1.483 2.569 0.000
1.483 0.856 8.642
! energy = -23.370 eV/atom
! symmetry = R-3m (166)